Below is Mg2In6Sn after structural relaxation, with properties calculated at the PBE level.

Output
VASP energy: -23.82 eV per formula unit

The structure in CIF format:
```
data_Mg2In6Sn
_cell_length_a 4.618
_cell_length_b 7.061
_cell_length_c 7.693
_cell_angle_alpha 94.32
_cell_angle_beta 100.28
_cell_angle_gamma 107.25
_space_group_name_H-M_alt 'P -1'
_space_group_IT_number 2
loop_
_space_group_symop_operation_xyz
'x,y,z'
'-x,-y,-z'
loop_
_atom_site_label
_atom_site_fract_x
_atom_site_fract_y
_atom_site_fract_z
Mg1 0.162 0.325 0.499
In1 0.124 0.052 0.826
In2 0.221 0.613 0.191
In3 0.430 0.705 0.808
Sn1 0.500 0.000 0.500
```

Below is Mg5InSn2 after structural relaxation, with properties calculated at the PBE level.

Output
VASP energy: -19.31 eV per formula unit

The structure in CIF format:
```
data_Mg5InSn2
_cell_length_a 3.448
_cell_length_b 9.004
_cell_length_c 12.508
_cell_angle_alpha 90.00
_cell_angle_beta 90.00
_cell_angle_gamma 90.00
_space_group_name_H-M_alt 'I m m m'
_space_group_IT_number 71
_space_group_name_Hall '-I 2 2'
loop_
_atom_site_label
_atom_site_fract_x
_atom_site_fract_y
_atom_site_fract_z
Mg1 0.000 0.000 0.000
Mg2 0.000 0.265 0.375
In1 0.000 0.500 0.000
Sn1 0.000 0.000 0.242
```

Below is Mg3In6Sn after structural relaxation, with properties calculated at the PBE level.

Output
VASP energy: -25.12 eV per formula unit

The structure in CIF format:
```
data_Mg3In6Sn
_cell_length_a 10.882
_cell_length_b 15.024
_cell_length_c 3.238
_cell_angle_alpha 90.00
_cell_angle_beta 90.00
_cell_angle_gamma 90.00
_space_group_name_H-M_alt 'P n n m'
_space_group_IT_number 58
loop_
_space_group_symop_operation_xyz
'x,y,z'
'-x,-y,-z'
'-x,-y,z'
'x,y,-z'
'x+1/2,-y+1/2,-z+1/2'
'-x+1/2,y+1/2,z+1/2'
'-x+1/2,y+1/2,-z+1/2'
'x+1/2,-y+1/2,z+1/2'
loop_
_atom_site_label
_atom_site_fract_x
_atom_site_fract_y
_atom_site_fract_z
Mg1 0.000 0.000 0.000
Mg2 0.073 0.333 0.500
In1 0.115 0.777 0.000
In2 0.164 0.143 0.500
In3 0.226 0.940 0.500
Sn1 0.000 0.500 0.000
```

Below is Mg9In2Sn after structural relaxation, with properties calculated at the PBE level.

Output
VASP energy: -25.01 eV per formula unit

The structure in CIF format:
```
data_Mg9In2Sn
_cell_length_a 4.499
_cell_length_b 4.499
_cell_length_c 13.440
_cell_angle_alpha 90.00
_cell_angle_beta 90.00
_cell_angle_gamma 90.00
_space_group_name_H-M_alt 'P 4/m m m'
_space_group_IT_number 123
_space_group_name_Hall '-P 4 2'
loop_
_atom_site_label
_atom_site_fract_x
_atom_site_fract_y
_atom_site_fract_z
Mg1 0.000 0.000 0.000
Mg2 0.000 0.000 0.334
Mg3 0.000 0.500 0.168
Mg4 0.000 0.500 0.500
In1 0.500 0.500 0.333
Sn1 0.500 0.500 0.000
```

Below is Mg2In3Sn3 after structural relaxation, with properties calculated at the PBE level.

Output
VASP energy: -23.71 eV per formula unit

The structure in CIF format:
```
data_Mg2In3Sn3
_cell_length_a 4.640
_cell_length_b 4.816
_cell_length_c 9.158
_cell_angle_alpha 90.00
_cell_angle_beta 90.00
_cell_angle_gamma 90.00
_space_group_name_H-M_alt 'P m m m'
_space_group_IT_number 47
loop_
_space_group_symop_operation_xyz
'x,y,z'
'-x,-y,-z'
'-x,-y,z'
'x,y,-z'
'x,-y,-z'
'-x,y,z'
'-x,y,-z'
'x,-y,z'
loop_
_atom_site_label
_atom_site_fract_x
_atom_site_fract_y
_atom_site_fract_z
Mg1 0.000 0.000 0.249
In1 0.000 0.500 0.000
In2 0.500 0.500 0.248
Sn1 0.000 0.500 0.500
Sn2 0.500 0.000 0.000
Sn3 0.500 0.000 0.500
```

Below is Mg5In5Sn2 after structural relaxation, with properties calculated at the PBE level.

Output
VASP energy: -30.52 eV per formula unit

The structure in CIF format:
```
data_Mg5In5Sn2
_cell_length_a 14.229
_cell_length_b 4.484
_cell_length_c 10.586
_cell_angle_alpha 90.00
_cell_angle_beta 119.80
_cell_angle_gamma 90.00
_space_group_name_H-M_alt 'C 1 2/m 1'
_space_group_IT_number 12
loop_
_space_group_symop_operation_xyz
'x,y,z'
'-x,-y,-z'
'-x,y,-z'
'x,-y,z'
'x+1/2,y+1/2,z'
'-x+1/2,-y+1/2,-z'
'-x+1/2,y+1/2,-z'
'x+1/2,-y+1/2,z'
loop_
_atom_site_label
_atom_site_fract_x
_atom_site_fract_y
_atom_site_fract_z
Mg1 0.000 0.000 0.000
Mg2 0.084 0.000 0.752
Mg3 0.165 0.000 0.499
In1 0.000 0.500 0.500
In2 0.167 0.500 0.006
In3 0.249 0.500 0.745
Sn1 0.082 0.500 0.259
```

Below is Mg6In12Sn after structural relaxation, with properties calculated at the PBE level.

Output
VASP energy: -45.70 eV per formula unit

The structure in CIF format:
```
data_Mg6In12Sn
_cell_length_a 11.7690
_cell_length_b 11.7690
_cell_length_c 12.6364
_cell_angle_alpha 90.00
_cell_angle_beta 90.00
_cell_angle_gamma 120.00
_space_group_name_H-M_alt 'R -3'
_space_group_IT_number 148
_space_group_name_Hall '-R 3'
loop_
_atom_site_label
_atom_site_fract_x
_atom_site_fract_y
_atom_site_fract_z
Mg1 0.0518 0.4680 0.2077
In1 0.0536 0.1815 0.3074
In2 0.0547 0.7924 0.9116
Sn1 0.0000 0.0000 0.0000
```

Below is Mg5InSn after structural relaxation, with properties calculated at the PBE level.

Output
VASP energy: -14.79 eV per formula unit

The structure in CIF format:
```
data_Mg5InSn
_cell_length_a 8.583
_cell_length_b 8.408
_cell_length_c 9.754
_cell_angle_alpha 90.00
_cell_angle_beta 94.72
_cell_angle_gamma 90.00
_space_group_name_H-M_alt 'C 1 2/c 1'
_space_group_IT_number 15
loop_
_space_group_symop_operation_xyz
'x,y,z'
'-x,-y,-z'
'-x,y,-z+1/2'
'x,-y,z+1/2'
'x+1/2,y+1/2,z'
'-x+1/2,-y+1/2,-z'
'-x+1/2,y+1/2,-z+1/2'
'x+1/2,-y+1/2,z+1/2'
loop_
_atom_site_label
_atom_site_fract_x
_atom_site_fract_y
_atom_site_fract_z
Mg1 0.000 0.172 0.250
Mg2 0.161 0.399 0.505
Mg3 0.182 0.169 0.791
In1 0.000 0.000 0.000
Sn1 0.000 0.479 0.750
```